# MgAg7Au2 (PBE, optimized geometry)
data_MgAg7Au2
_chemical_formula_sum 'Mg2 Ag14 Au4'
_cell_length_a 7.579
_cell_length_b 13.960
_cell_length_c 4.457
_cell_angle_alpha 90.00
_cell_angle_beta 90.00
_cell_angle_gamma 90.00
_space_group_name_H-M_alt 'C m m m'
_space_group_IT_number 65
_space_group_name_Hall '-C 2 2'
loop_
_atom_site_label
_atom_site_fract_x
_atom_site_fract_y
_atom_site_fract_z
_atom_site_occupancy
Mg1 0.000 0.000 0.000 1
Ag1 0.000 0.192 0.000 1
Ag2 0.000 0.500 0.500 1
Ag3 0.181 0.105 0.500 1
Au1 0.000 0.301 0.500 1
# Calculated formation energy, meV/atom: 204
# N(E_F), states/eV/f.u.: 2.83
# Magnetic moment, μB/atom: 0.00

# Mg2Ag5Au12 (PBE, optimized geometry)
data_Mg2Ag5Au12
_chemical_formula_sum 'Mg4 Ag10 Au24'
_cell_length_a 15.169
_cell_length_b 9.672
_cell_length_c 4.990
_cell_angle_alpha 90.00
_cell_angle_beta 105.58
_cell_angle_gamma 90.00
_space_group_name_H-M_alt 'C 1 2/m 1'
_space_group_IT_number 12
loop_
_space_group_symop_operation_xyz
'x,y,z'
'-x,-y,-z'
'-x,y,-z'
'x,-y,z'
'x+1/2,y+1/2,z'
'-x+1/2,-y+1/2,-z'
'-x+1/2,y+1/2,-z'
'x+1/2,-y+1/2,z'
loop_
_atom_site_label
_atom_site_fract_x
_atom_site_fract_y
_atom_site_fract_z
_atom_site_occupancy
Mg1 0.000 0.247 0.000 1
Ag1 0.000 0.500 0.500 1
Ag2 0.195 0.000 0.816 1
Ag3 0.203 0.500 0.610 1
Au1 0.087 0.000 0.228 1
Au2 0.097 0.241 0.597 1
Au3 0.100 0.500 0.048 1
Au4 0.198 0.247 0.195 1
# Calculated formation energy, meV/atom: -130
# N(E_F), states/eV/f.u.: 3.28
# Magnetic moment, μB/atom: 0.00

# Mg4AgAu (PBE, optimized geometry)
data_Mg4AgAu
_chemical_formula_sum 'Mg16 Ag4 Au4'
_cell_length_a 7.854
_cell_length_b 7.854
_cell_length_c 7.854
_cell_angle_alpha 90.00
_cell_angle_beta 90.00
_cell_angle_gamma 90.00
_space_group_name_H-M_alt 'F -4 3 m'
_space_group_IT_number 216
_space_group_name_Hall 'F -4 2 3'
loop_
_atom_site_label
_atom_site_fract_x
_atom_site_fract_y
_atom_site_fract_z
_atom_site_occupancy
Mg1 0.125 0.125 0.125 1
Ag1 0.250 0.250 0.750 1
Au1 0.000 0.000 0.500 1
# Energy relative to the lowest polymorph listed for this composition, meV per atom: 354.8
# Calculated formation energy, meV/atom: 48
# N(E_F), states/eV/f.u.: 3.12
# Magnetic moment, μB/atom: 0.00

# MgAg3Au2 (PBE, optimized geometry)
data_MgAg3Au2
_chemical_formula_sum 'Mg2 Ag6 Au4'
_cell_length_a 4.095
_cell_length_b 12.275
_cell_length_c 4.271
_cell_angle_alpha 90.00
_cell_angle_beta 90.00
_cell_angle_gamma 90.00
_space_group_name_H-M_alt 'P m m n'
_space_group_IT_number 59
loop_
_space_group_symop_operation_xyz
'x,y,z'
'-x,-y,-z'
'-x+1/2,-y+1/2,z'
'x+1/2,y+1/2,-z'
'x+1/2,-y,-z'
'-x+1/2,y,z'
'-x,y+1/2,-z'
'x,-y+1/2,z'
loop_
_atom_site_label
_atom_site_fract_x
_atom_site_fract_y
_atom_site_fract_z
_atom_site_occupancy
Mg1 0.250 0.250 0.001 1
Ag1 0.250 0.082 0.501 1
Ag2 0.250 0.750 0.499 1
Au1 0.250 0.588 0.000 1
# Energy relative to the lowest polymorph listed for this composition, meV per atom: 0.0
# Calculated formation energy, meV/atom: -199
# N(E_F), states/eV/f.u.: 1.20
# Magnetic moment, μB/atom: 0.00

# MgAg2Au5 (PBE, optimized geometry)
data_MgAg2Au5
_chemical_formula_sum 'Mg2 Ag4 Au10'
_cell_length_a 4.128
_cell_length_b 4.128
_cell_length_c 16.776
_cell_angle_alpha 90.00
_cell_angle_beta 90.00
_cell_angle_gamma 90.00
_space_group_name_H-M_alt 'I 4/m m m'
_space_group_IT_number 139
_space_group_name_Hall '-I 4 2'
loop_
_atom_site_label
_atom_site_fract_x
_atom_site_fract_y
_atom_site_fract_z
_atom_site_occupancy
Mg1 0.000 0.000 0.000 1
Ag1 0.000 0.000 0.252 1
Au1 0.000 0.000 0.500 1
Au2 0.000 0.500 0.123 1
# Energy relative to the lowest polymorph listed for this composition, meV per atom: 0.0
# Calculated formation energy, meV/atom: -223
# N(E_F), states/eV/f.u.: 2.50
# Magnetic moment, μB/atom: 0.00

# Mg2Ag3Au8 (PBE, optimized geometry)
data_Mg2Ag3Au8
_chemical_formula_sum 'Mg6 Ag9 Au24'
_cell_length_a 5.4161
_cell_length_b 5.4161
_cell_length_c 30.7847
_cell_angle_alpha 90.00
_cell_angle_beta 90.00
_cell_angle_gamma 120.00
_space_group_name_H-M_alt 'R -3 m'
_space_group_IT_number 166
_space_group_name_Hall '-R 3 2"'
loop_
_atom_site_label
_atom_site_fract_x
_atom_site_fract_y
_atom_site_fract_z
_atom_site_occupancy
Mg1 0.0000 0.0000 0.1364 1
Ag1 0.0000 0.0000 0.3155 1
Ag2 0.0000 0.0000 0.5000 1
Au1 0.0000 0.0000 0.2204 1
Au2 0.0007 0.5004 0.2708 1
# Energy relative to the lowest polymorph listed for this composition, meV per atom: 90.8
# Calculated formation energy, meV/atom: -76
# N(E_F), states/eV/f.u.: 3.55
# Magnetic moment, μB/atom: 0.00

# MgAgAu (PBE, optimized geometry)
data_MgAgAu
_chemical_formula_sum 'Mg3 Ag3 Au3'
_cell_length_a 7.8603
_cell_length_b 7.8603
_cell_length_c 2.9959
_cell_angle_alpha 90.00
_cell_angle_beta 90.00
_cell_angle_gamma 120.00
_space_group_name_H-M_alt 'P -6 2 m'
_space_group_IT_number 189
_space_group_name_Hall 'P -6 -2'
loop_
_atom_site_label
_atom_site_fract_x
_atom_site_fract_y
_atom_site_fract_z
_atom_site_occupancy
Mg1 0.0000 0.0000 0.0000 1
Mg2 0.3333 0.6667 0.5000 1
Ag1 0.0000 0.6966 0.5000 1
Au1 0.0000 0.3634 0.0000 1
# Energy relative to the lowest polymorph listed for this composition, meV per atom: 78.0
# Calculated formation energy, meV/atom: -292
# N(E_F), states/eV/f.u.: 0.95
# Magnetic moment, μB/atom: 0.00

# Mg2Ag3Au3 (PBE, optimized geometry)
data_Mg2Ag3Au3
_chemical_formula_sum 'Mg6 Ag9 Au9'
_cell_length_a 7.3313
_cell_length_b 7.3313
_cell_length_c 9.5823
_cell_angle_alpha 90.00
_cell_angle_beta 90.00
_cell_angle_gamma 120.00
_space_group_name_H-M_alt 'R 3 2'
_space_group_IT_number 155
_space_group_name_Hall 'R 3 2"'
loop_
_atom_site_label
_atom_site_fract_x
_atom_site_fract_y
_atom_site_fract_z
_atom_site_occupancy
Mg1 0.0000 0.0000 0.2364 1
Ag1 0.0000 0.7633 0.5000 1
Au1 0.0000 0.2525 0.0000 1
# Energy relative to the lowest polymorph listed for this composition, meV per atom: 55.4
# Calculated formation energy, meV/atom: -212
# N(E_F), states/eV/f.u.: 3.69
# Magnetic moment, μB/atom: 0.00

# MgAg3Au6 (PBE, optimized geometry)
data_MgAg3Au6
_chemical_formula_sum 'Mg2 Ag6 Au12'
_cell_length_a 9.351
_cell_length_b 4.077
_cell_length_c 9.397
_cell_angle_alpha 90.00
_cell_angle_beta 90.32
_cell_angle_gamma 90.00
_space_group_name_H-M_alt 'P 1 21/m 1'
_space_group_IT_number 11
loop_
_space_group_symop_operation_xyz
'x,y,z'
'-x,-y,-z'
'-x,y+1/2,-z'
'x,-y+1/2,z'
loop_
_atom_site_label
_atom_site_fract_x
_atom_site_fract_y
_atom_site_fract_z
_atom_site_occupancy
Mg1 0.114 0.250 0.441 1
Ag1 0.099 0.750 0.948 1
Ag2 0.297 0.250 0.847 1
Ag3 0.495 0.750 0.751 1
Au1 0.002 0.750 0.261 1
Au2 0.190 0.750 0.639 1
Au3 0.199 0.250 0.147 1
Au4 0.302 0.750 0.347 1
Au5 0.399 0.250 0.550 1
Au6 0.400 0.750 0.049 1
# Energy relative to the lowest polymorph listed for this composition, meV per atom: 0.0
# Calculated formation energy, meV/atom: -169
# N(E_F), states/eV/f.u.: 2.38
# Magnetic moment, μB/atom: 0.00

# MgAgAu6 (PBE, optimized geometry)
data_MgAgAu6
_chemical_formula_sum 'Mg2 Ag2 Au12'
_cell_length_a 4.808
_cell_length_b 5.880
_cell_length_c 10.157
_cell_angle_alpha 90.00
_cell_angle_beta 90.00
_cell_angle_gamma 90.00
_space_group_name_H-M_alt 'A m m 2'
_space_group_IT_number 38
loop_
_space_group_symop_operation_xyz
'x,y,z'
'-x,-y,z'
'-x,y,z'
'x,-y,z'
'x,y+1/2,z+1/2'
'-x,-y+1/2,z+1/2'
'-x,y+1/2,z+1/2'
'x,-y+1/2,z+1/2'
loop_
_atom_site_label
_atom_site_fract_x
_atom_site_fract_y
_atom_site_fract_z
_atom_site_occupancy
Mg1 0.000 0.000 0.000 1
Ag1 0.500 0.000 0.667 1
Au1 0.000 0.000 0.500 1
Au2 0.000 0.249 0.750 1
Au3 0.500 0.000 0.165 1
Au4 0.500 0.247 0.918 1
# Calculated formation energy, meV/atom: -204
# N(E_F), states/eV/f.u.: 3.84
# Magnetic moment, μB/atom: 0.00

# Mg8AgAu2 (PBE, optimized geometry)
data_Mg8AgAu2
_chemical_formula_sum 'Mg16 Ag2 Au4'
_cell_length_a 7.923
_cell_length_b 12.337
_cell_length_c 5.049
_cell_angle_alpha 90.00
_cell_angle_beta 107.27
_cell_angle_gamma 90.00
_space_group_name_H-M_alt 'C 1 2/m 1'
_space_group_IT_number 12
loop_
_space_group_symop_operation_xyz
'x,y,z'
'-x,-y,-z'
'-x,y,-z'
'x,-y,z'
'x+1/2,y+1/2,z'
'-x+1/2,-y+1/2,-z'
'-x+1/2,y+1/2,-z'
'x+1/2,-y+1/2,z'
loop_
_atom_site_label
_atom_site_fract_x
_atom_site_fract_y
_atom_site_fract_z
_atom_site_occupancy
Mg1 0.000 0.230 0.000 1
Mg2 0.121 0.500 0.807 1
Mg3 0.198 0.122 0.603 1
Ag1 0.000 0.000 0.000 1
Au1 0.000 0.311 0.500 1
# Energy relative to the lowest polymorph listed for this composition, meV per atom: 44.4
# Calculated formation energy, meV/atom: -273
# N(E_F), states/eV/f.u.: 3.13
# Magnetic moment, μB/atom: 0.00

# Mg2AgAu (PBE, optimized geometry)
data_Mg2AgAu
_chemical_formula_sum 'Mg6 Ag3 Au3'
_cell_length_a 3.1280
_cell_length_b 3.1280
_cell_length_c 26.9905
_cell_angle_alpha 90.00
_cell_angle_beta 90.00
_cell_angle_gamma 120.00
_space_group_name_H-M_alt 'R -3 m'
_space_group_IT_number 166
_space_group_name_Hall '-R 3 2"'
loop_
_atom_site_label
_atom_site_fract_x
_atom_site_fract_y
_atom_site_fract_z
_atom_site_occupancy
Mg1 0.0000 0.0000 0.2474 1
Ag1 0.0000 0.0000 0.0000 1
Au1 0.0000 0.0000 0.5000 1
# Energy relative to the lowest polymorph listed for this composition, meV per atom: 195.3
# Calculated formation energy, meV/atom: -248
# N(E_F), states/eV/f.u.: 1.16
# Magnetic moment, μB/atom: 0.00

DFT total energy across the listed records, respectively: -2.607, -3.118, -2.036, -2.983, -3.183, -2.996, -2.867, -2.909, -3.151, -3.218, -2.288, -2.578 eV per atom.